No. 1
Entry from Alexandria via LeMat-Bulk: a relaxed Ca2MoPb crystal (PBE).

**Magnetic moment**: 3.283 Bohr magnetons per cell
**Raw total energy**: -4.2505 eV/atom
**N(E_F)**: 2.8 states/eV/cell
**Energy of formation**: 0.385 eV per atom

Cell lengths 4.7922, 4.7918, 4.6696 Å; angles 90.00, 90.00, 90.00 degrees
With the nearest neighbours (Å) after each atom.
Atoms (fractional coordinates):
Pb (0.0000, 0.5000, 0.5000)  8 Ca 3.35, 4 Mo 3.39
Mo (0.5000, 0.0000, 0.5000)  8 Ca 3.35, 4 Pb 3.39
Ca (0.0000, 0.0000, 0.0000)  4 Pb 3.35, 4 Mo 3.35, 4 Ca 3.39
Ca (0.5000, 0.5000, 0.0000)  4 Mo 3.35, 4 Pb 3.35, 4 Ca 3.39

=====

No. 2
Entry from Alexandria via LeMat-Bulk: a relaxed CaMo2Pb crystal (PBE).

**Magnetic moment**: 0.000 Bohr magnetons per cell
**Raw total energy**: -6.3579 eV/atom
**N(E_F)**: 2.8 states/eV/cell
**Energy of formation**: 0.485 eV per atom

Cell lengths 5.6663, 5.6663, 5.6663 Å; angles 142.73, 127.23, 66.37 degrees
With the nearest neighbours (Å) after each atom.
Atoms (fractional coordinates):
Pb (0.5141, 0.5141, 0.0000)  8 Mo 3.14-3.31, 4 Ca 3.23-3.26
Mo (0.9659, 0.9659, 0.0000)  2 Mo 2.48
Mo (0.7879, 0.2879, 0.5000)  2 Mo 2.48
Ca (0.2321, 0.7321, 0.5000)  8 Mo 3.11-3.35, 4 Pb 3.23-3.26

=====

No. 3
Entry from Alexandria via LeMat-Bulk: a relaxed CaMo2Pb crystal (PBE).

**Magnetic moment**: 0.000 Bohr magnetons per cell
**Raw total energy**: -5.8855 eV/atom
**N(E_F)**: 3.6 states/eV/cell
**Energy of formation**: 0.958 eV per atom

Cell lengths 2.9349, 2.9349, 9.8172 Å; angles 90.00, 90.00, 90.00 degrees
With the nearest neighbours (Å) after each atom.
Atoms (fractional coordinates):
Pb (0.5000, 0.5000, 0.2500)  4 Pb 2.93, 8 Mo 3.12
Mo (0.0000, 0.0000, 0.0126)  4 Mo 2.93, 4 Pb 3.12
Mo (0.0000, 0.0000, 0.4874)  4 Mo 2.93, 4 Pb 3.12
Ca (0.5000, 0.5000, 0.7500)  4 Ca 2.93

=====

No. 4
Entry from Alexandria via LeMat-Bulk: a relaxed CaMo2Pb crystal (PBE).

**Magnetic moment**: 0.000 Bohr magnetons per cell
**Raw total energy**: -6.3168 eV/atom
**N(E_F)**: 1.1 states/eV/cell
**Energy of formation**: 0.526 eV per atom

Cell lengths 4.8202, 4.8202, 4.8202 Å; angles 60.00, 60.00, 60.00 degrees
With the nearest neighbours (Å) after each atom.
Atoms (fractional coordinates):
Pb (0.7500, 0.7500, 0.7500)  4 Mo 2.95, 4 Ca 2.95
Mo (0.0000, 0.0000, 0.0000)  4 Mo 2.95, 4 Pb 2.95
Mo (0.2500, 0.2500, 0.2500)  4 Ca 2.95, 4 Mo 2.95
Ca (0.5000, 0.5000, 0.5000)  4 Pb 2.95, 4 Mo 2.95